# CsAcAgF6 PBE relaxed
data_CsAcAgF6
_chemical_formula_sum 'Cs4 Ac4 Ag4 F24'
_space_group_name_H-M_alt 'I m m a'
_space_group_IT_number 74
_space_group_name_Hall '-I 2b 2'
_cell_length_a 8.206
_cell_length_b 8.235
_cell_length_c 11.106
_cell_angle_alpha 90.00
_cell_angle_beta 90.00
_cell_angle_gamma 90.00
loop_
_atom_site_label
_atom_site_type_symbol
_atom_site_fract_x
_atom_site_fract_y
_atom_site_fract_z
_atom_site_occupancy
Cs1 Cs 0.000 0.250 0.089 1
Ac1 Ac 0.000 0.000 0.500 1
Ag1 Ag 0.250 0.250 0.750 1
F1 F 0.000 0.250 0.374 1
F2 F 0.000 0.250 0.625 1
F3 F 0.234 0.059 0.884 1
# - formation energy without anion corrections (meV/atom) = -2846
# - mass density (g/cm³) = 5.1